(1)
VASP calculation (PBE) on Sc2TcIr after structural relaxation.

Cell lengths 4.602, 3.030, 5.443 Å; angles 90.00, 114.56, 90.00 degrees
Space group P2/m (No. 10)
Unique sites:
Sc (0.000, 0.000, 0.000) (multiplicity 1)
Sc (0.000, 0.500, 0.500) (multiplicity 1)
Tc (0.500, 0.000, 0.500) (multiplicity 1)
Ir (0.500, 0.500, 0.000) (multiplicity 1)

Computed properties:
Energy of formation from the pure elements   -1.1 eV/f.u.
Theoretical density   9.144 g/cm3
V   17.26 Å³/atom

=====

(2)
VASP calculation (PBE) on Y2ZrGa after structural relaxation.

Cell lengths 8.314, 8.314, 6.081 Å; angles 90.00, 90.00, 90.00 degrees
Space group I-42d (No. 122)
Unique sites:
Y (0.214, 0.250, 0.125) (multiplicity 8)
Zr (0.000, 0.000, 0.500) (multiplicity 4)
Ga (0.000, 0.000, 0.000) (multiplicity 4)

Computed properties:
Energy of formation from the pure elements   0.5 eV/f.u.
Theoretical density   5.353 g/cm3
V   26.27 Å³/atom

=====

(3)
VASP calculation (PBE) on PmSm2Sb3 after structural relaxation.

Cell lengths 4.482, 6.329, 13.432 Å; angles 90.00, 90.00, 90.00 degrees
Space group Immm (No. 71)
Unique sites:
Pm (0.000, 0.000, 0.000) (multiplicity 2)
Sm (0.000, 0.000, 0.333) (multiplicity 4)
Sb (0.000, 0.500, 0.000) (multiplicity 2)
Sb (0.000, 0.500, 0.333) (multiplicity 4)

Computed properties:
Formation energy without anion corrections   -1.18 eV/atom
Theoretical density   7.070 g/cm3
V   31.75 Å³/atom